The following is a DFT calculation (PBE) of a geometry-optimized CsHfGa2Pb structure.

Cell lengths 5.356, 5.356, 5.981 Å; angles 90.00, 90.00, 90.00 degrees
Fractional positions:
Cs1 0.000 0.000 0.000
Hf1 0.000 0.000 0.500
Ga1 0.000 0.500 0.500
Ga2 0.500 0.000 0.500
Pb1 0.500 0.500 0.000

## Properties
density	6.37	g cm⁻³
E_tot	-3.325	eV per atom
Fermi-level density of states	4.01	states/eV per cell
ΔE_f	0.788	eV per atom